A relaxed structure of Cs2Au2O5, computed with GGA-PBE.

Values from the calculation:
- energy above the lowest structure with this stoichiometry (meV per atom) = 1138
- calculated total energy (eV/atom) = -2.7751
- symmetry = P4/mmm, No. 123

Cell lengths 4.367, 4.367, 9.211 Å; angles 90.00, 90.00, 90.00 degrees
Fractional positions:
Cs 0.000 0.000 0.220
Cs 0.000 0.000 0.780
Au 0.500 0.500 0.000
Au 0.500 0.500 0.500
O 0.000 0.000 0.500
O 0.000 0.500 0.152
O 0.000 0.500 0.848
O 0.500 0.000 0.152
O 0.500 0.000 0.848